The following is a PBE calculation of an optimized crystal structure of PrTm3Co, from Alexandria.

Properties
DFT formation energy (eV/atom): -0.1144
Crystal system: monoclinic
Offset from the most stable computed form (meV per atom): 0
SG: No. 12
Mass density (Mg/m³): 8.72
Total moment (μB/atom): 0.00
Electronic total energy (eV/atom): -5.174

abc: 6.809 6.809 11.057
angles: 91.01 91.01 31.68
Fractional coordinates of all 10 atoms:
1 Pr 0.164 0.164 0.090
2 Pr 0.836 0.836 0.910
3 Tm 0.061 0.061 0.374
4 Tm 0.216 0.216 0.635
5 Tm 0.433 0.433 0.163
6 Tm 0.567 0.567 0.837
7 Tm 0.784 0.784 0.365
8 Tm 0.939 0.939 0.626
9 Co 0.415 0.415 0.440
10 Co 0.585 0.585 0.560

The following is a PBE calculation of an optimized crystal structure of Pr2TmCo, from Alexandria.

Properties
DFT formation energy (eV/atom): 0.1038
Crystal system: tetragonal
Offset from the most stable computed form (meV per atom): 110
SG: No. 123
Mass density (Mg/m³): 7.62
Total moment (μB/atom): 0.55
Electronic total energy (eV/atom): -5.180

abc: 3.560 3.560 8.769
angles: 90.00 90.00 90.00
Fractional coordinates of all 4 atoms:
1 Pr 0.000 0.000 0.196
2 Pr 0.000 0.000 0.804
3 Tm 0.500 0.500 0.500
4 Co 0.500 0.500 0.000

The following is a PBE calculation of an optimized crystal structure of PrTm6Co2, from Alexandria.

Properties
DFT formation energy (eV/atom): -0.0672
Crystal system: orthorhombic
SG: No. 71
Mass density (Mg/m³): 9.19
Total moment (μB/atom): 0.00
Electronic total energy (eV/atom): -5.158

abc: 8.428 8.428 8.428
angles: 112.52 108.22 107.72
Fractional coordinates of all 18 atoms:
1 Pr 0.000 0.000 0.000
2 Pr 0.500 0.500 0.000
3 Tm 0.014 0.236 0.778
4 Tm 0.188 0.290 0.478
5 Tm 0.188 0.710 0.897
6 Tm 0.319 0.005 0.686
7 Tm 0.319 0.634 0.314
8 Tm 0.459 0.236 0.222
9 Tm 0.541 0.764 0.778
10 Tm 0.681 0.366 0.686
11 Tm 0.681 0.995 0.314
12 Tm 0.812 0.290 0.103
13 Tm 0.812 0.710 0.522
14 Tm 0.986 0.764 0.222
15 Co 0.113 0.613 0.500
16 Co 0.334 0.000 0.334
17 Co 0.666 0.000 0.666
18 Co 0.887 0.387 0.500

The following is a PBE calculation of an optimized crystal structure of PrTm3Co, from Alexandria.

Properties
DFT formation energy (eV/atom): -0.0839
Crystal system: orthorhombic
Offset from the most stable computed form (meV per atom): 31
SG: No. 25
Mass density (Mg/m³): 8.22
Total moment (μB/atom): 0.00
Electronic total energy (eV/atom): -5.144

abc: 5.209 7.271 3.771
angles: 90.00 90.00 90.00
Fractional coordinates of all 5 atoms:
1 Pr 0.000 0.000 0.000
2 Tm 0.000 0.500 0.002
3 Tm 0.500 0.251 0.501
4 Tm 0.500 0.749 0.501
5 Co 0.500 0.500 0.001

The following is a PBE calculation of an optimized crystal structure of PrYCo3, from Alexandria.

Properties
DFT formation energy (eV/atom): -0.1159
Crystal system: orthorhombic
SG: No. 63
Mass density (Mg/m³): 6.96
Total moment (μB/atom): 0.38
Electronic total energy (eV/atom): -6.628

abc: 11.872 11.872 3.929
angles: 90.00 90.00 159.51
Fractional coordinates of all 10 atoms:
1 Pr 0.071 0.929 0.750
2 Pr 0.929 0.071 0.250
3 Y 0.206 0.794 0.250
4 Y 0.794 0.206 0.750
5 Co 0.331 0.669 0.250
6 Co 0.377 0.623 0.750
7 Co 0.476 0.524 0.750
8 Co 0.524 0.476 0.250
9 Co 0.623 0.377 0.250
10 Co 0.669 0.331 0.750

The following is a PBE calculation of an optimized crystal structure of Pr8YCo2, from Alexandria.

Properties
DFT formation energy (eV/atom): 0.0999
Crystal system: monoclinic
SG: No. 12
Mass density (Mg/m³): 6.07
Total moment (μB/atom): 0.00
Electronic total energy (eV/atom): -5.256

abc: 7.554 7.554 7.379
angles: 107.00 107.00 67.97
Fractional coordinates of all 11 atoms:
1 Pr 0.085 0.692 0.685
2 Pr 0.177 0.177 0.824
3 Pr 0.308 0.915 0.315
4 Pr 0.373 0.373 0.315
5 Pr 0.627 0.627 0.685
6 Pr 0.692 0.085 0.685
7 Pr 0.823 0.823 0.176
8 Pr 0.915 0.308 0.315
9 Y 0.500 0.500 0.000
10 Co 0.314 0.314 0.616
11 Co 0.686 0.686 0.384

The following is a PBE calculation of an optimized crystal structure of PrY12Co6, from Alexandria.

Properties
DFT formation energy (eV/atom): -0.1225
Crystal system: cubic
SG: No. 204
Mass density (Mg/m³): 5.44
Total moment (μB/atom): 0.00
Electronic total energy (eV/atom): -6.701

abc: 8.521 8.521 8.521
angles: 109.47 109.47 109.47
Fractional coordinates of all 19 atoms:
1 Pr 0.000 0.000 0.000
2 Y 0.115 0.806 0.309
3 Y 0.194 0.309 0.503
4 Y 0.194 0.691 0.885
5 Y 0.309 0.115 0.806
6 Y 0.309 0.503 0.194
7 Y 0.497 0.806 0.691
8 Y 0.503 0.194 0.309
9 Y 0.691 0.497 0.806
10 Y 0.691 0.885 0.194
11 Y 0.806 0.309 0.115
12 Y 0.806 0.691 0.497
13 Y 0.885 0.194 0.691
14 Co 0.112 0.612 0.500
15 Co 0.388 0.500 0.888
16 Co 0.500 0.112 0.612
17 Co 0.500 0.888 0.388
18 Co 0.612 0.500 0.112
19 Co 0.888 0.388 0.500

The following is a PBE calculation of an optimized crystal structure of Pr3Y2Co2, from Alexandria.

Properties
DFT formation energy (eV/atom): -0.0673
Crystal system: monoclinic
SG: No. 12
Mass density (Mg/m³): 6.29
Total moment (μB/atom): 0.00
Electronic total energy (eV/atom): -5.993

abc: 6.393 6.393 8.988
angles: 113.94 113.94 34.75
Fractional coordinates of all 7 atoms:
1 Pr 0.000 0.000 0.000
2 Pr 0.115 0.115 0.425
3 Pr 0.885 0.885 0.575
4 Y 0.324 0.324 0.190
5 Y 0.676 0.676 0.810
6 Co 0.316 0.316 0.757
7 Co 0.684 0.684 0.243

The following is a PBE calculation of an optimized crystal structure of PrYCo, from Alexandria.

Properties
DFT formation energy (eV/atom): -0.0164
Crystal system: tetragonal
Offset from the most stable computed form (meV per atom): 68
SG: No. 107
Mass density (Mg/m³): 6.21
Total moment (μB/atom): 0.25
Electronic total energy (eV/atom): -6.133

abc: 6.949 6.949 6.949
angles: 151.30 151.30 41.04
Fractional coordinates of all 3 atoms:
1 Pr 0.000 0.000 0.000
2 Y 0.255 0.255 0.000
3 Co 0.635 0.635 0.000

The following is a PBE calculation of an optimized crystal structure of Pr2Y5Co2, from Alexandria.

Properties
DFT formation energy (eV/atom): -0.0656
Crystal system: orthorhombic
SG: No. 64
Mass density (Mg/m³): 5.55
Total moment (μB/atom): 0.00
Electronic total energy (eV/atom): -6.298

abc: 10.632 10.632 7.088
angles: 90.00 90.00 39.09
Fractional coordinates of all 18 atoms:
1 Pr 0.231 0.231 0.000
2 Pr 0.269 0.269 0.500
3 Pr 0.731 0.731 0.500
4 Pr 0.769 0.769 0.000
5 Y 0.000 0.000 0.000
6 Y 0.077 0.716 0.677
7 Y 0.216 0.577 0.177
8 Y 0.284 0.923 0.677
9 Y 0.423 0.784 0.177
10 Y 0.500 0.500 0.500
11 Y 0.577 0.216 0.823
12 Y 0.716 0.077 0.323
13 Y 0.784 0.423 0.823
14 Y 0.923 0.284 0.323
15 Co 0.111 0.889 0.391
16 Co 0.389 0.611 0.891
17 Co 0.611 0.389 0.109
18 Co 0.889 0.111 0.609

The following is a PBE calculation of an optimized crystal structure of PrYCo, from Alexandria.

Properties
DFT formation energy (eV/atom): 0.0368
Crystal system: cubic
Offset from the most stable computed form (meV per atom): 121
SG: No. 216
Mass density (Mg/m³): 6.15
Total moment (μB/atom): 0.00
Electronic total energy (eV/atom): -6.080

abc: 4.795 4.795 4.795
angles: 60.00 60.00 60.00
Fractional coordinates of all 3 atoms:
1 Pr 0.000 0.000 0.000
2 Y 0.500 0.500 0.500
3 Co 0.250 0.250 0.250

The following is a PBE calculation of an optimized crystal structure of Pr4YCo4, from Alexandria.

Properties
DFT formation energy (eV/atom): 0.0494
Crystal system: tetragonal
SG: No. 86
Mass density (Mg/m³): 6.84
Total moment (μB/atom): 0.00
Electronic total energy (eV/atom): -5.951

abc: 8.597 8.597 5.839
angles: 90.00 90.00 90.00
Fractional coordinates of all 18 atoms:
1 Pr 0.054 0.677 0.129
2 Pr 0.177 0.946 0.629
3 Pr 0.323 0.554 0.629
4 Pr 0.446 0.823 0.129
5 Pr 0.554 0.177 0.871
6 Pr 0.677 0.446 0.371
7 Pr 0.823 0.054 0.371
8 Pr 0.946 0.323 0.871
9 Y 0.250 0.250 0.250
10 Y 0.750 0.750 0.750
11 Co 0.011 0.613 0.604
12 Co 0.113 0.989 0.104
13 Co 0.387 0.511 0.104
14 Co 0.489 0.887 0.604
15 Co 0.511 0.113 0.396
16 Co 0.613 0.489 0.896
17 Co 0.887 0.011 0.896
18 Co 0.989 0.387 0.396